# 1
The following is a PBE calculation of crystalline HfV2Tc at its relaxed geometry, from the Alexandria database.

```
4
Lattice="3.071 0.000 0.000 0.000 3.071 0.000 0.000 0.000 6.660" Properties=species:S:1:pos:R:3 pbc="T T T"
Hf 1.536 1.536 3.330
Tc 1.536 1.536 0.000
V 0.000 0.000 5.206
V 0.000 0.000 1.454
```

## Properties
space-group type: No. 123
density of states at the Fermi level: 5.1 states/eV/f.u.
DFT formation energy: -3.027 kcal/mol of atoms
E above lowest polymorph: 0.000 eV/atom

***

# 2
The following is a PBE calculation of crystalline HfVTc at its relaxed geometry, from the Alexandria database.

```
6
Lattice="3.190 0.000 0.000 0.000 4.533 0.000 -1.595 0.000 6.771" Properties=species:S:1:pos:R:3 pbc="T T T"
V 1.595 3.400 3.535
V 0.000 1.133 3.235
Hf 1.595 1.133 5.629
Hf 0.000 3.400 1.142
Tc 1.595 1.133 1.258
Tc 0.000 3.400 5.512
```

## Properties
space-group type: No. 63
density of states at the Fermi level: 3.3 states/eV/f.u.
DFT formation energy: -7.223 kcal/mol of atoms
E above lowest polymorph: 0.061 eV/atom

***

# 3
The following is a PBE calculation of crystalline HfV2Tc at its relaxed geometry, from the Alexandria database.

```
8
Lattice="7.060 0.000 0.000 0.000 7.060 0.000 3.530 3.530 2.712" Properties=species:S:1:pos:R:3 pbc="T T T"
V 8.825 8.556 2.034
V 5.026 1.765 0.678
V 2.034 5.295 0.678
V 5.295 5.564 2.034
Tc 3.530 7.060 1.356
Tc 3.530 3.530 0.000
Hf 7.060 3.530 1.356
Hf 0.000 0.000 0.000
```

## Properties
space-group type: No. 122
density of states at the Fermi level: 4.3 states/eV/f.u.
DFT formation energy: 8.357 kcal/mol of atoms
E above lowest polymorph: 0.494 eV/atom

***

# 4
The following is a PBE calculation of crystalline HfVTc at its relaxed geometry, from the Alexandria database.

```
6
Lattice="-2.667 0.705 4.400 1.072 -4.828 -1.586 5.035 1.260 -0.180" Properties=species:S:1:pos:R:3 pbc="T T T"
Hf -0.427 -3.542 1.888
Hf 3.867 0.679 0.746
V 1.720 -1.431 1.317
V 0.536 -2.414 -0.793
Tc 3.054 -1.784 -0.883
Tc 1.184 0.982 2.110
```

## Properties
space-group type: No. 74
density of states at the Fermi level: 2.0 states/eV/f.u.
DFT formation energy: -8.630 kcal/mol of atoms
E above lowest polymorph: 0.000 eV/atom

***

# 5
The following is a PBE calculation of crystalline HfVTc at its relaxed geometry, from the Alexandria database.

```
3
Lattice="3.145 0.000 0.000 0.000 3.145 0.000 -1.572 -1.572 4.925" Properties=species:S:1:pos:R:3 pbc="T T T"
Hf 1.572 1.572 4.405
V 1.572 1.572 1.305
Tc 0.000 0.000 2.661
```

## Properties
space-group type: No. 107
density of states at the Fermi level: 3.1 states/eV/f.u.
DFT formation energy: -6.517 kcal/mol of atoms
E above lowest polymorph: 0.092 eV/atom

***

# 6
The following is a PBE calculation of crystalline HfVTc at its relaxed geometry, from the Alexandria database.

```
3
Lattice="-0.237 2.510 1.613 0.435 -2.315 3.667 3.526 1.612 -1.990" Properties=species:S:1:pos:R:3 pbc="T T T"
V -0.226 2.396 1.539
Tc 2.331 2.040 1.011
Hf 1.381 -0.118 2.352
```

## Properties
space-group type: No. 156
density of states at the Fermi level: 3.0 states/eV/f.u.
DFT formation energy: -3.580 kcal/mol of atoms
E above lowest polymorph: 0.219 eV/atom

***

# 7
The following is a PBE calculation of crystalline HfV3Tc at its relaxed geometry, from the Alexandria database.

```
5
Lattice="4.573 0.000 0.000 0.000 4.573 0.000 0.000 0.000 4.573" Properties=species:S:1:pos:R:3 pbc="T T T"
Hf 0.000 0.000 0.000
V 2.287 0.000 0.000
V 0.000 0.000 2.287
V 0.000 2.287 0.000
Tc 2.287 2.287 2.287
```

## Properties
space-group type: No. 221
density of states at the Fermi level: 9.1 states/eV/f.u.
DFT formation energy: 43.974 kcal/mol of atoms
E above lowest polymorph: 1.071 eV/atom

***

# 8
The following is a PBE calculation of crystalline HfV2Tc2 at its relaxed geometry, from the Alexandria database.

```
5
Lattice="-1.690 0.771 2.499 1.628 -2.107 1.751 6.122 4.587 2.726" Properties=species:S:1:pos:R:3 pbc="T T T"
V 4.099 2.438 2.021
V 3.651 0.043 2.457
Tc 1.133 0.570 2.531
Tc 4.927 2.682 4.445
Hf 0.000 0.000 0.000
```

## Properties
space-group type: No. 65
density of states at the Fermi level: 5.3 states/eV/f.u.
DFT formation energy: -1.943 kcal/mol of atoms
E above lowest polymorph: 0.000 eV/atom

***

# 9
The following is a PBE calculation of crystalline HfV3Tc at its relaxed geometry, from the Alexandria database.

```
5
Lattice="-4.096 0.830 1.746 0.270 -3.805 2.441 1.914 2.312 3.392" Properties=species:S:1:pos:R:3 pbc="T T T"
V 0.957 1.156 1.696
V -2.048 0.415 0.873
V 0.135 -1.903 1.221
Hf -0.956 -0.332 3.790
Tc 0.000 0.000 0.000
```

## Properties
space-group type: No. 221
density of states at the Fermi level: 8.2 states/eV/f.u.
DFT formation energy: 19.285 kcal/mol of atoms
E above lowest polymorph: 0.000 eV/atom

***

# 10
The following is a PBE calculation of crystalline Hf3V8Tc at its relaxed geometry, from the Alexandria database.

```
12
Lattice="-0.890 -2.122 4.526 -4.222 -2.721 0.742 2.346 -8.568 -0.709" Properties=species:S:1:pos:R:3 pbc="T T T"
Hf -5.083 -4.893 5.250
Hf -1.406 -6.666 2.294
Hf 0.135 -9.311 1.356
V -3.207 -10.375 4.467
V -2.764 -9.317 2.212
V -1.105 -9.019 4.097
V 0.055 -4.634 0.686
V -1.289 -11.406 2.942
V -1.774 -3.775 2.160
V -3.874 -5.129 2.529
V -2.217 -4.831 4.411
Tc -3.595 -7.448 4.345
```

## Properties
space-group type: No. 160
density of states at the Fermi level: 23.7 states/eV/f.u.
DFT formation energy: -0.760 kcal/mol of atoms

***

# 11
The following is a PBE calculation of crystalline HfV2Tc at its relaxed geometry, from the Alexandria database.

```
8
Lattice="3.086 0.000 0.000 0.000 4.503 0.000 -1.543 0.000 9.406" Properties=species:S:1:pos:R:3 pbc="T T T"
Hf 1.543 3.377 2.238
Hf 0.000 1.126 7.168
V 0.000 1.126 0.319
V 0.000 3.377 4.747
V 1.543 1.126 4.659
V 1.543 3.377 9.087
Tc 0.000 1.126 2.740
Tc 1.543 3.377 6.667
```

## Properties
space-group type: No. 63
density of states at the Fermi level: 4.2 states/eV/f.u.
DFT formation energy: 0.872 kcal/mol of atoms
E above lowest polymorph: 0.169 eV/atom

***

# 12
The following is a PBE calculation of crystalline HfV2Tc at its relaxed geometry, from the Alexandria database.

```
4
Lattice="-0.532 -1.940 -2.164 2.045 -0.499 -2.072 3.833 -7.069 3.379" Properties=species:S:1:pos:R:3 pbc="T T T"
Hf 2.673 -4.754 -0.429
V 4.094 -7.289 -0.522
V 1.252 -2.219 -0.335
Tc 0.000 0.000 0.000
```

## Properties
space-group type: No. 166
density of states at the Fermi level: 5.5 states/eV/f.u.
DFT formation energy: 3.925 kcal/mol of atoms
E above lowest polymorph: 0.301 eV/atom